[1]
! NdHfBi | the Open Quantum Materials Database | PBE | relaxed; values from VASP
&SYSTEM
  ibrav = 0, nat = 3, ntyp = 3
/
ATOMIC_SPECIES
Bi 208.98 Bi.upf
Nd 144.24 Nd.upf
Hf 178.49 Hf.upf
CELL_PARAMETERS angstrom
0.0000 3.5850 3.5850
3.5850 0.0000 3.5850
3.5850 3.5850 0.0000
ATOMIC_POSITIONS crystal
Bi 0.0000 0.0000 0.0000
Nd 0.7500 0.7500 0.7500
Hf 0.2500 0.2500 0.2500
! total magnetization	0.0176	μB/atom
! total energy	-6.125	eV per atom
! SG	F-43m, No. 216


[2]
! Nd3Cd3Ag2Au | the Open Quantum Materials Database | PBE | relaxed; values from VASP
&SYSTEM
  ibrav = 0, nat = 9, ntyp = 4
/
ATOMIC_SPECIES
Au 196.97 Au.upf
Cd 112.41 Cd.upf
Nd 144.24 Nd.upf
Ag 107.87 Ag.upf
CELL_PARAMETERS angstrom
7.9369 0.0000 0.0000
-3.9684 6.8735 0.0000
0.0000 0.0000 4.0788
ATOMIC_POSITIONS crystal
Au 0.0000 0.0000 0.0000
Cd 0.7397 0.7397 0.5000
Cd 0.2603 0.0000 0.5000
Cd 0.0000 0.2603 0.5000
Nd 0.4010 0.4010 0.0000
Nd 0.5990 0.0000 0.0000
Nd 0.0000 0.5990 0.0000
Ag 0.6667 0.3333 0.5000
Ag 0.3333 0.6667 0.5000
! total magnetization	0.0019	μB/atom
! energy relative to the elements	-40.7	kJ per mole of atoms
! SG	P-62m, No. 189


[3]
! AlCd2O4 | the Open Quantum Materials Database | PBE | relaxed; values from VASP
&SYSTEM
  ibrav = 0, nat = 14, ntyp = 3
/
ATOMIC_SPECIES
O 16.00 O.upf
Cd 112.41 Cd.upf
Al 26.98 Al.upf
CELL_PARAMETERS angstrom
1.2749 5.7393 2.1805
-0.4834 -0.9715 -6.1759
-5.1136 -0.2402 3.6212
ATOMIC_POSITIONS crystal
O 0.1171 0.2343 0.3514
O 0.1171 0.7657 0.8828
O 0.6329 0.2657 0.8986
O 0.6486 0.7657 0.8829
O 0.1014 0.7343 0.3671
O 0.1172 0.2343 0.8829
O 0.6329 0.7343 0.3672
O 0.6328 0.2657 0.3671
Cd 0.3750 0.2500 0.6250
Cd 0.3750 0.7500 0.6250
Cd 0.8750 0.2500 0.6250
Cd 0.3750 0.7500 0.1250
Al 0.0000 0.0000 0.0000
Al 0.7500 0.5000 0.2500
! total energy	-5.085	eV per atom
! SG	Fd-3m, No. 227


[4]
! SmLuNb | the Open Quantum Materials Database | PBE | relaxed; values from VASP
&SYSTEM
  ibrav = 0, nat = 3, ntyp = 3
/
ATOMIC_SPECIES
Nb 92.91 Nb.upf
Lu 174.97 Lu.upf
Sm 150.36 Sm.upf
CELL_PARAMETERS angstrom
-4.7039 -1.8325 0.4237
-3.7636 2.0304 -2.7160
-2.0563 -2.6085 -3.8251
ATOMIC_POSITIONS crystal
Nb 0.2500 0.2500 0.2500
Lu 0.5000 0.5000 0.5000
Sm 0.0000 0.0000 0.0000
! ΔE to the lowest computed polymorph	0.000	eV per atom
! total magnetization	0.7458	μB/atom
! energy relative to the elements	77.8	kJ per mole of atoms
! SG	F-43m, No. 216


[5]
! ErMgZnN2 | the Open Quantum Materials Database | PBE | relaxed; values from VASP
&SYSTEM
  ibrav = 0, nat = 5, ntyp = 4
/
ATOMIC_SPECIES
N 14.01 N.upf
Mg 24.30 Mg.upf
Zn 65.41 Zn.upf
Er 167.26 Er.upf
CELL_PARAMETERS angstrom
3.3192 0.0000 0.0000
-1.6596 2.8745 0.0000
0.0000 0.0000 7.1520
ATOMIC_POSITIONS crystal
N 0.3333 0.6667 0.3079
N 0.6667 0.3333 0.6951
Mg 0.6667 0.3333 0.1638
Zn 0.3333 0.6667 0.8299
Er 0.0000 0.0000 0.5032
! total magnetization	0.0016	μB/atom
! total energy	-5.541	eV per atom
! SG	P3m1, No. 156


[6]
! KLuO3 | the Open Quantum Materials Database | PBE | relaxed; values from VASP
&SYSTEM
  ibrav = 0, nat = 10, ntyp = 3
/
ATOMIC_SPECIES
O 16.00 O.upf
Lu 174.97 Lu.upf
K 39.10 K.upf
CELL_PARAMETERS angstrom
-3.9723 -0.7280 4.5509
-3.4645 4.6939 1.7278
-5.9615 -0.0740 -1.2145
ATOMIC_POSITIONS crystal
O 0.2658 0.2342 0.7500
O 0.2500 0.7342 0.7658
O 0.7500 0.2658 0.2342
O 0.7658 0.2500 0.7342
O 0.7342 0.7658 0.2500
O 0.2342 0.7500 0.2658
Lu 0.0000 0.0000 0.0000
Lu 0.5000 0.5000 0.5000
K 0.2500 0.2500 0.2500
K 0.7500 0.7500 0.7500
! total magnetization	0.3999	μB/atom
! total energy	-6.059	eV per atom
! SG	R-3c, No. 167


[7]
! Sm4CICl4 | the Open Quantum Materials Database | PBE | relaxed; values from VASP
&SYSTEM
  ibrav = 0, nat = 10, ntyp = 4
/
ATOMIC_SPECIES
Sm 150.36 Sm.upf
Cl 35.45 Cl.upf
C 12.01 C.upf
I 126.90 I.upf
CELL_PARAMETERS angstrom
8.7470 -1.9574 0.0000
8.7470 1.9574 0.0000
-2.2965 0.0000 8.3704
ATOMIC_POSITIONS crystal
Sm 0.3543 0.3543 0.9182
Sm 0.9994 0.9994 0.1948
Sm 0.0006 0.0006 0.8052
Sm 0.6457 0.6457 0.0819
Cl 0.1704 0.1704 0.8634
Cl 0.8338 0.8338 0.6830
Cl 0.8296 0.8296 0.1366
Cl 0.1662 0.1662 0.3170
C 0.5000 0.5000 0.0000
I 0.5000 0.5000 0.5000
! total magnetization	0.0005	μB/atom
! total energy	-5.288	eV per atom
! SG	C2/m, No. 12


[8]
! ThTlSn | the Open Quantum Materials Database | PBE | relaxed; values from VASP
&SYSTEM
  ibrav = 0, nat = 3, ntyp = 3
/
ATOMIC_SPECIES
Th 232.04 Th.upf
Tl 204.38 Tl.upf
Sn 118.71 Sn.upf
CELL_PARAMETERS angstrom
0.0000 3.6789 3.6789
3.6789 0.0000 3.6789
3.6789 3.6789 0.0000
ATOMIC_POSITIONS crystal
Th 0.2500 0.2500 0.2500
Tl 0.7500 0.7500 0.7500
Sn 0.0000 0.0000 0.0000
! ΔE to the lowest computed polymorph	0.043	eV per atom
! total magnetization	0.0012	μB/atom
! SG	F-43m, No. 216